Below is an optimized crystal structure of BeCrAs4, with properties calculated at the PBE level.

Cell: 5.4696 5.4696 5.4696 Å, 60.00 60.00 60.00°
Sites, in units of the cell vectors:
Be  0.7500  0.7500  0.7500
Cr  0.0000  0.0000  0.0000
As  0.8725  0.3758  0.3758
As  0.3758  0.3758  0.8725
As  0.3758  0.8725  0.3758
As  0.3758  0.3758  0.3758

D(E_F): 2.948 states/eV per cell
Formation energy: 0.7952 eV/atom
Magnetization: 0.781 μB per atom
E_tot: -4.53 eV/atom